Entry 1:
{
  "formula": "AcPIrN",
  "functional": "GGA-PBE",
  "state": "relaxed",
  "lattice": [[4.020, 0.000, 0.000], [0.000, 4.020, 0.000], [0.000, 0.000, 8.420]],
  "species": ["Ac", "Ac", "P", "P", "Ir", "Ir", "N", "N"],
  "fractional_positions": [[0.250, 0.250, 0.166], [0.750, 0.750, 0.834], [0.250, 0.250, 0.656], [0.750, 0.750, 0.344], [0.250, 0.750, 0.500], [0.750, 0.250, 0.500], [0.250, 0.250, 0.857], [0.750, 0.750, 0.143]],
  "raw_formation_energy_ev_per_fu": -4.16
}


Entry 2:
{
  "formula": "PmAlHPt",
  "functional": "GGA-PBE",
  "state": "relaxed",
  "lattice": [[4.172, 0.000, 0.000], [0.000, 4.172, 0.000], [0.000, 0.000, 7.639]],
  "species": ["Pm", "Pm", "Al", "Al", "H", "H", "Pt", "Pt"],
  "fractional_positions": [[0.250, 0.250, 0.145], [0.750, 0.750, 0.855], [0.250, 0.750, 0.500], [0.750, 0.250, 0.500], [0.250, 0.750, 0.000], [0.750, 0.250, 0.000], [0.250, 0.250, 0.685], [0.750, 0.750, 0.315]],
  "total_energy_ev_per_fu": -21.56
}


Entry 3:
{
  "formula": "CaFe2Sb",
  "functional": "GGA-PBE",
  "state": "relaxed",
  "lattice": [[4.252, 0.000, 0.000], [0.000, 4.252, 0.000], [0.000, 0.000, 4.156]],
  "species": ["Ca", "Fe", "Fe", "Sb"],
  "fractional_positions": [[0.000, 0.000, 0.000], [0.000, 0.500, 0.500], [0.500, 0.000, 0.500], [0.500, 0.500, 0.000]],
  "raw_formation_energy_ev_per_fu": 1.03
}


Entry 4:
{
  "formula": "Sr2PuAs4Pd3",
  "functional": "GGA-PBE",
  "state": "relaxed",
  "lattice": [[4.465, 0.000, 0.000], [0.000, 4.465, 0.000], [0.000, 0.000, 11.273]],
  "species": ["Sr", "Sr", "Pu", "As", "As", "As", "As", "Pd", "Pd", "Pd"],
  "fractional_positions": [[0.000, 0.500, 0.228], [0.500, 0.000, 0.772], [0.000, 0.000, 0.500], [0.000, 0.000, 0.000], [0.000, 0.500, 0.657], [0.500, 0.000, 0.343], [0.500, 0.500, 0.000], [0.000, 0.500, 0.887], [0.500, 0.000, 0.113], [0.500, 0.500, 0.500]],
  "formation_enthalpy_0k_mev_per_atom": -767
}